The following is a DFT calculation (PBE+U) of HfCdWO2 after structural relaxation.

a b c (Å): 3.9599 3.9599 6.0976
angles (deg): 90.00 90.00 90.00
Positions (direct):
Hf  0.0000  0.0000  0.0000
Cd  0.5000  0.5000  0.0000
W  0.0000  0.0000  0.5000
O  0.0000  0.5000  0.5000
O  0.5000  0.0000  0.5000

Properties
The volume is 19.12 Å³ per atom. The calculation puts the spin magnetization at 2.38 μB per cell. As for the density of states at the Fermi level: 3.62 states/eV/f.u. For the total energy, the calculation gives -5.9749 eV per atom. The space group is P4/mmm, No. 123. For the theoretical density, the calculation gives 8.80 g/cm3.